# 1
Compound: Ho6ZnSe3S2
Source: Alexandria
Functional: PBE
Structure: relaxed

Values from the calculation:
total moment: 0.000 μB/atom
symmetry: No. 12
E_tot: -5.55 eV/atom
volume: 22.935 Å³ per atom

Unit cell a=6.9248 b=6.9248 c=7.0115 alpha=99.46 beta=99.46 gamma=119.93
Atoms (fractional coordinates):
Ho1 0.9223 0.5883 0.7654
Ho2 0.7442 0.7442 0.2337
Ho3 0.0777 0.4117 0.2346
Ho4 0.5883 0.9223 0.7654
Ho5 0.2558 0.2558 0.7663
Ho6 0.4117 0.0777 0.2346
Zn1 0.0000 0.0000 0.0000
Se1 0.1680 0.8320 0.5000
Se2 0.8320 0.1680 0.5000
Se3 0.5000 0.5000 0.5000
S1 0.3339 0.6661 0.0000
S2 0.6661 0.3339 0.0000



# 2
Compound: Ho8Zn3Se4S
Source: Alexandria
Functional: PBE
Structure: relaxed

Values from the calculation:
total moment: 0.000 μB/atom
symmetry: No. 166
E_tot: -4.85 eV/atom
volume: 23.728 Å³ per atom

Unit cell a=7.9803 b=8.2832 c=7.9804 alpha=118.80 beta=120.00 gamma=90.00
Atoms (fractional coordinates):
Ho1 0.2461 0.7442 0.9981
Ho2 0.2461 0.7442 0.4923
Ho3 0.2488 0.2463 0.4975
Ho4 0.7520 0.7442 0.9981
Ho5 0.2480 0.2558 0.0019
Ho6 0.7512 0.7537 0.5025
Ho7 0.7539 0.2558 0.5077
Ho8 0.7539 0.2558 0.0019
Zn1 0.5000 0.5000 0.0000
Zn2 0.5000 0.5000 0.5000
Zn3 0.0000 0.5000 0.5000
Se1 0.5000 0.0000 0.0000
Se2 0.5000 0.0000 0.5000
Se3 0.0000 0.0000 0.0000
Se4 0.0000 0.0000 0.5000
S1 0.0000 0.5000 0.0000